1.
Density functional theory data (GGA-PBE) for crystalline PmHo3Sc6 at its relaxed geometry.

Cell and atoms, written as extended XYZ:
```
20
Lattice="-0.3221 -1.7502 5.5924 -9.5506 -3.6620 -1.6962 8.1604 -6.2230 -1.4775" Properties=species:S:1:pos:R:3 pbc="T T T"
Pm 4.3295 -5.9838 -0.5444
Pm -5.9936 -5.3895 2.1263
Ho -3.1374 -8.6780 -0.0137
Ho 0.3893 -10.0863 2.8281
Ho 1.0967 -5.3167 -1.2062
Ho -2.6892 -5.6676 1.5452
Ho 1.2845 -3.7207 4.8718
Ho -2.2421 -2.3123 2.0301
Sc -1.8889 -6.5056 -2.0617
Sc -0.1428 -7.6565 0.7580
Sc 2.6476 -8.7363 -0.3576
Sc -5.1652 -8.5050 2.3441
Sc -8.8162 -4.5383 0.7114
Sc 2.7435 -6.5755 1.9930
Sc -4.3799 -4.6470 -0.8931
Sc 6.9888 -7.7220 3.7047
Sc 3.3813 -3.5191 1.3174
Sc -4.4315 -3.2878 4.0191
Sc -1.4171 -3.1508 -0.9846
Sc 0.3290 -4.3017 1.8351
```

## Properties
Calculated density: 5491 kg/m3
Crystal system: orthorhombic
Excess energy over the best structure of this formula in the dataset: 0.0000 eV per atom
Space group: Cmc2_1 (36)



2.
Density functional theory data (GGA-PBE) for crystalline Pm3Ho3Sc2 at its relaxed geometry.

Cell and atoms, written as extended XYZ:
```
8
Lattice="4.9986 0.0000 0.0000 0.0000 4.9666 0.0000 0.0000 0.0000 9.8110" Properties=species:S:1:pos:R:3 pbc="T T T"
Pm 2.4993 0.0000 4.9055
Pm 0.0000 2.4833 0.0000
Pm 0.0000 2.4833 4.9055
Ho 2.4993 2.4833 7.3761
Ho 2.4993 2.4833 2.4349
Ho 2.4993 0.0000 0.0000
Sc 0.0000 0.0000 7.3773
Sc 0.0000 0.0000 2.4337
```

## Properties
Calculated density: 6952 kg/m3
Crystal system: orthorhombic
Excess energy over the best structure of this formula in the dataset: 0.0000 eV per atom
Space group: Pmmm (47)



3.
Density functional theory data (GGA-PBE) for crystalline Pm2HoSc at its relaxed geometry.

Cell and atoms, written as extended XYZ:
```
4
Lattice="-1.2200 -0.3151 -3.2127 2.1780 -0.4806 -2.6334 -0.5261 -12.3545 -0.4418" Properties=species:S:1:pos:R:3 pbc="T T T"
Sc 0.2160 -6.5751 -3.1440
Ho 0.0000 0.0000 0.0000
Pm -0.2947 -9.0451 -0.8543
Pm 0.7266 -4.1051 -5.4336
```

## Properties
Calculated density: 6590 kg/m3
Crystal system: trigonal
Excess energy over the best structure of this formula in the dataset: 0.1699 eV per atom
Space group: R-3m (166)



4.
Density functional theory data (GGA-PBE) for crystalline Pm12Ho6Sc at its relaxed geometry.

Cell and atoms, written as extended XYZ:
```
19
Lattice="-4.8447 -4.3354 5.6349 7.0005 -3.6790 3.3878 0.7346 6.3720 5.7338" Properties=species:S:1:pos:R:3 pbc="T T T"
Pm 0.2843 -2.5877 8.7208
Pm 3.7586 -1.3493 8.1781
Pm 1.0262 1.0565 8.9811
Pm 2.6060 0.9453 6.0357
Pm -0.8682 -0.2931 6.5784
Pm 1.8641 -2.6989 5.7754
Pm 1.5035 1.5202 2.8100
Pm 1.2728 0.3893 12.3642
Pm 4.3699 -1.2211 11.5783
Pm 1.3869 -3.1626 11.9465
Pm 1.6176 -2.0317 2.3923
Pm -1.4795 -0.4212 3.1782
Ho 2.9402 -4.6663 8.9084
Ho -1.5413 -3.3960 5.4258
Ho 4.6679 -1.3763 4.4343
Ho -0.0498 3.0239 5.8481
Ho 4.4317 1.7536 9.3307
Ho -1.7776 -0.2661 10.3222
Sc 0.0000 0.0000 0.0000
```

## Properties
Calculated density: 7237 kg/m3
Crystal system: trigonal
Space group: R-3 (148)



5.
Density functional theory data (GGA-PBE) for crystalline PmHoSc2 at its relaxed geometry.

Cell and atoms, written as extended XYZ:
```
4
Lattice="4.6626 0.0000 0.0000 0.0000 4.9294 0.0000 0.0000 0.0000 4.9294" Properties=species:S:1:pos:R:3 pbc="T T T"
Sc 0.0000 0.0000 2.4647
Sc 0.0000 2.4647 0.0000
Ho 2.3313 2.4647 2.4647
Pm 2.3313 0.0000 0.0000
```

## Properties
Calculated density: 5860 kg/m3
Crystal system: tetragonal
Excess energy over the best structure of this formula in the dataset: 0.0000 eV per atom
Space group: P4/mmm (123)



6.
Density functional theory data (GGA-PBE) for crystalline Pm2HoSc at its relaxed geometry.

Cell and atoms, written as extended XYZ:
```
4
Lattice="3.5489 0.0000 0.0000 1.7745 3.0735 0.0000 1.7745 1.0245 11.3494" Properties=species:S:1:pos:R:3 pbc="T T T"
Pm 1.7745 1.0245 8.5961
Pm 1.7745 1.0245 2.7510
Ho 3.5489 2.0490 5.6897
Sc 5.3234 3.0735 11.3368
```

## Properties
Calculated density: 6705 kg/m3
Crystal system: trigonal
Excess energy over the best structure of this formula in the dataset: 0.0119 eV per atom
Space group: R3m (160)



7.
Density functional theory data (GGA-PBE) for crystalline Pm3Ho2Sc2 at its relaxed geometry.

Cell and atoms, written as extended XYZ:
```
7
Lattice="3.4880 -0.0001 -0.0272 -1.7729 7.4337 -3.4405 0.0717 -0.5370 8.5183" Properties=species:S:1:pos:R:3 pbc="T T T"
Pm 0.0000 0.0000 0.0000
Pm 0.0330 4.0131 3.9782
Pm 1.7538 2.8835 1.0725
Ho -0.0063 5.3535 -1.0035
Ho 1.7931 1.5431 6.0542
Sc 0.0259 0.8030 3.2164
Sc 1.7609 6.0935 1.8343
```

## Properties
Calculated density: 6620 kg/m3
Crystal system: triclinic
Excess energy over the best structure of this formula in the dataset: 0.0000 eV per atom
Space group: P-1 (2)



8.
Density functional theory data (GGA-PBE) for crystalline Pm5Ho6Sc at its relaxed geometry.

Cell and atoms, written as extended XYZ:
```
12
Lattice="4.8305 0.0197 -1.4094 -1.3778 8.8217 -4.5937 0.1185 -0.8133 9.3756" Properties=species:S:1:pos:R:3 pbc="T T T"
Sc 0.0000 0.0000 0.0000
Ho 3.3022 4.6559 2.4013
Ho 3.9990 0.1943 4.7246
Ho 1.4940 5.8540 5.2043
Ho 2.0772 2.1742 -1.8317
Ho -0.4278 7.8338 -1.3520
Ho 0.2691 3.3722 0.9713
Pm 3.0190 1.1915 1.3835
Pm 1.2316 2.4081 4.2551
Pm -0.6889 4.4109 -2.2968
Pm 2.3397 5.6200 -0.8825
Pm 0.5523 6.8366 1.9891
```

## Properties
Calculated density: 7656 kg/m3
Crystal system: orthorhombic
Space group: Immm (71)



9.
Density functional theory data (GGA-PBE) for crystalline PmHoSc2 at its relaxed geometry.

Cell and atoms, written as extended XYZ:
```
4
Lattice="3.8841 0.0000 0.0000 0.0000 3.8841 0.0000 0.0000 0.0000 7.5328" Properties=species:S:1:pos:R:3 pbc="T T T"
Sc 0.0000 0.0000 5.6012
Sc 0.0000 0.0000 1.9316
Ho 1.9421 1.9421 3.7664
Pm 1.9421 1.9421 0.0000
```

## Properties
Calculated density: 5843 kg/m3
Crystal system: tetragonal
Excess energy over the best structure of this formula in the dataset: 0.0252 eV per atom
Space group: P4/mmm (123)



10.
Density functional theory data (GGA-PBE) for crystalline Pm2Ho12Sc at its relaxed geometry.

Cell and atoms, written as extended XYZ:
```
30
Lattice="-0.2393 6.1658 2.0627 -5.5133 -2.0777 -2.7597 -2.5956 -11.5017 22.5001" Properties=species:S:1:pos:R:3 pbc="T T T"
Pm -5.8580 -2.5282 4.5580
Pm -3.2209 1.5936 6.9690
Pm -5.1271 -9.0072 14.8340
Pm -2.4901 -4.8854 17.2453
Ho -5.8868 -6.5174 17.5791
Ho -3.0105 -8.5613 17.9276
Ho -7.1863 -7.4271 20.5555
Ho -6.3468 -10.1443 18.1118
Ho -6.4184 0.1345 6.7897
Ho -4.6383 -1.3911 1.2802
Ho -2.7168 -2.7029 13.7624
Ho -3.5421 -1.9095 7.1382
Ho -4.3100 -9.4711 20.9040
Ho -4.0381 2.0575 0.8992
Ho -2.4580 -5.6553 12.3556
Ho -2.9943 -0.5889 10.4520
Ho -1.9298 -7.5481 15.0135
Ho -3.0138 -3.8024 9.7960
Ho -1.1619 0.0134 1.2476
Ho -5.8901 -1.7583 9.4476
Ho -5.3343 -3.6113 12.0072
Ho -5.3376 1.1478 3.8756
Ho -5.3539 -6.8247 11.3513
Ho -4.8060 -5.5040 14.6651
Ho -3.7097 -6.0225 20.5228
Ho -2.4614 -0.8964 4.2240
Ho -5.6312 -4.7106 8.0407
Ho -2.0013 2.7306 3.6915
Sc -0.1197 3.0829 1.0314
Sc -5.5914 -6.3748 23.1829
```

## Properties
Calculated density: 8111 kg/m3
Crystal system: monoclinic
Space group: P2/m (10)



no.,spin magnetization (Bohr magnetons per cell),Fermi-level density of states (states/eV/cell),raw total energy (eV/f.u.)
1,0.00,28.58,-54.9
2,0.00,12.60,-40.3
3,0.01,8.33,-19.6
4,0.00,32.95,-88.2
5,0.00,6.89,-21.8
6,0.00,5.84,-20.2
7,0.00,10.63,-35.8
8,0.00,17.31,-57.2
9,0.00,5.44,-21.7
10,0.00,46.98,-68.9